First-principles (PBE) data for a relaxed structure of BaErMg17, as listed in Alexandria.

Summary:
The density of states at the Fermi level comes out at 0.50 states/eV per atom. The uncorrected energy is -102.4 eV for the cell shown.

Cell: 10.4071 10.4071 15.3770 Å, 90.00 90.00 120.00°
Space group R3m (No. 160, hexagonal axes)
Asymmetric unit:
Ba: 0.0000 0.0000 0.0000 x3
Er: 0.0000 0.0000 0.6634 x3
Mg: 0.0000 0.0000 0.2413 x3
Mg: 0.0000 0.0000 0.4381 x3
Mg: 0.0043 0.5022 0.8351 x9
Mg: 0.0050 0.3021 0.3361 x18
Mg: 0.0072 0.5036 0.1853 x9
Mg: 0.0182 0.5091 0.4881 x9

First-principles (PBE) data for a relaxed structure of PmDy2Cd, as listed in Alexandria.

Summary:
The density of states at the Fermi level comes out at 1.43 states/eV per atom. The calculation puts the energy above the lowest structure with this stoichiometry at 158 meV/atom.

Cell: 7.740 7.740 7.740 Å, 90.00 90.00 90.00°
Space group Fm-3m (No. 225)
Asymmetric unit:
Pm: 0.000 0.000 0.000 x4
Dy: 0.250 0.250 0.250 x8
Cd: 0.000 0.000 0.500 x4

First-principles (PBE) data for a relaxed structure of SnPdO3, as listed in Alexandria.

Summary:
The calculation puts the uncorrected formation energy at -0.63 eV/atom. The density of states at the Fermi level comes out at 0.45 states/eV per atom.

Cell: 5.7309 5.7309 7.4347 Å, 90.00 90.00 120.00°
Space group R3m (No. 160, hexagonal axes)
Asymmetric unit:
Sn: 0.0000 0.0000 0.0000 x3
Pd: 0.0000 0.0000 0.4016 x3
O: 0.1769 0.3537 0.8617 x9

First-principles (PBE) data for a relaxed structure of PmCd6Au2, as listed in Alexandria.

Summary:
The density of states at the Fermi level comes out at 0.35 states/eV per atom. The uncorrected energy is -19.2 eV for the cell shown.

Cell: 4.264 4.264 11.319 Å, 90.00 90.00 90.00°
Space group P4/mmm (No. 123)
Asymmetric unit:
Pm: 0.000 0.000 0.000 x1
Cd: 0.000 0.000 0.500 x1
Cd: 0.000 0.500 0.288 x4
Cd: 0.500 0.500 0.500 x1
Au: 0.500 0.500 0.119 x2